1.
# Ba12LiAg6 PBE optimized geometry
data_Ba12LiAg6
_chemical_formula_sum 'Ba36 Li3 Ag18'
_symmetry_space_group_name_H-M 'R -3'
_symmetry_Int_Tables_number 148
_symmetry_space_group_name_Hall '-R 3'
_cell_length_a 15.3429
_cell_length_b 15.3429
_cell_length_c 13.6549
_cell_angle_alpha 90.00
_cell_angle_beta 90.00
_cell_angle_gamma 120.00
loop_
_atom_site_label
_atom_site_type_symbol
_atom_site_fract_x
_atom_site_fract_y
_atom_site_fract_z
Ba1 Ba 0.0280 0.8195 0.3857
Ba2 Ba 0.0353 0.8249 0.8819
Li1 Li 0.0000 0.0000 0.0000
Ag1 Ag 0.0417 0.7791 0.6426
# ΔE to the lowest computed polymorph in eV per atom: 0.085
# Formation enthalpy at 0 K in eV/atom: -0.07

***

2.
# Tl2TeI PBE optimized geometry
data_Tl2TeI
_chemical_formula_sum 'Tl6 Te3 I3'
_symmetry_space_group_name_H-M 'R -3 m'
_symmetry_Int_Tables_number 166
_symmetry_space_group_name_Hall '-R 3 2"'
_cell_length_a 4.7709
_cell_length_b 4.7709
_cell_length_c 23.4458
_cell_angle_alpha 90.00
_cell_angle_beta 90.00
_cell_angle_gamma 120.00
loop_
_atom_site_label
_atom_site_type_symbol
_atom_site_fract_x
_atom_site_fract_y
_atom_site_fract_z
Tl1 Tl 0.0000 0.0000 0.2403
Te1 Te 0.0000 0.0000 0.5000
I1 I 0.0000 0.0000 0.0000
# ΔE to the lowest computed polymorph in eV per atom: 0.072
# E_form (uncorrected) in kJ/mol of formula units: -130

***

3.
# LiPt2Br PBE optimized geometry
data_LiPt2Br
_chemical_formula_sum 'Li1 Pt2 Br1'
_symmetry_space_group_name_H-M 'P m m m'
_symmetry_Int_Tables_number 47
_symmetry_space_group_name_Hall '-P 2 2'
_cell_length_a 2.875
_cell_length_b 4.197
_cell_length_c 5.558
_cell_angle_alpha 90.00
_cell_angle_beta 90.00
_cell_angle_gamma 90.00
loop_
_atom_site_label
_atom_site_type_symbol
_atom_site_fract_x
_atom_site_fract_y
_atom_site_fract_z
Li1 Li 0.000 0.000 0.000
Pt1 Pt 0.500 0.500 0.235
Br1 Br 0.000 0.000 0.500
# ΔE to the lowest computed polymorph in eV per atom: 0.379
# E_form (uncorrected) in kJ/mol of formula units: 57

***

4.
# SmGaSn2 PBE optimized geometry
data_SmGaSn2
_chemical_formula_sum 'Sm2 Ga2 Sn4'
_symmetry_space_group_name_H-M 'I 4/m m m'
_symmetry_Int_Tables_number 139
_symmetry_space_group_name_Hall '-I 4 2'
_cell_length_a 4.457
_cell_length_b 4.457
_cell_length_c 9.915
_cell_angle_alpha 90.00
_cell_angle_beta 90.00
_cell_angle_gamma 90.00
loop_
_atom_site_label
_atom_site_type_symbol
_atom_site_fract_x
_atom_site_fract_y
_atom_site_fract_z
Sm1 Sm 0.000 0.000 0.000
Ga1 Ga 0.000 0.000 0.500
Sn1 Sn 0.000 0.500 0.250
# ΔE to the lowest computed polymorph in eV per atom: 0.000
# Formation enthalpy at 0 K in eV/atom: -0.50

***

5.
# Ta2CoHPd PBE optimized geometry
data_Ta2CoHPd
_chemical_formula_sum 'Ta2 Co1 H1 Pd1'
_symmetry_space_group_name_H-M 'P 4/m m m'
_symmetry_Int_Tables_number 123
_symmetry_space_group_name_Hall '-P 4 2'
_cell_length_a 4.040
_cell_length_b 4.040
_cell_length_c 3.941
_cell_angle_alpha 90.00
_cell_angle_beta 90.00
_cell_angle_gamma 90.00
loop_
_atom_site_label
_atom_site_type_symbol
_atom_site_fract_x
_atom_site_fract_y
_atom_site_fract_z
Ta1 Ta 0.000 0.500 0.000
Co1 Co 0.000 0.000 0.500
H1 H 0.500 0.500 0.000
Pd1 Pd 0.500 0.500 0.500
# ΔE to the lowest computed polymorph in eV per atom: 0.073

***

6.
# BePtRh2 PBE optimized geometry
data_BePtRh2
_chemical_formula_sum 'Be1 Pt1 Rh2'
_symmetry_space_group_name_H-M 'P 4 m m'
_symmetry_Int_Tables_number 99
_symmetry_space_group_name_Hall 'P 4 -2'
_cell_length_a 2.758
_cell_length_b 2.758
_cell_length_c 6.797
_cell_angle_alpha 90.00
_cell_angle_beta 90.00
_cell_angle_gamma 90.00
loop_
_atom_site_label
_atom_site_type_symbol
_atom_site_fract_x
_atom_site_fract_y
_atom_site_fract_z
Be1 Be 0.000 0.000 0.000
Pt1 Pt 0.500 0.500 0.209
Rh1 Rh 0.000 0.000 0.512
Rh2 Rh 0.500 0.500 0.792
# Formation enthalpy at 0 K in eV/atom: -0.33

***

7.
# LiTlSe PBE optimized geometry
data_LiTlSe
_chemical_formula_sum 'Li2 Tl2 Se2'
_symmetry_space_group_name_H-M 'P -1'
_symmetry_Int_Tables_number 2
_symmetry_space_group_name_Hall '-P 1'
_cell_length_a 4.428
_cell_length_b 4.445
_cell_length_c 7.496
_cell_angle_alpha 83.14
_cell_angle_beta 89.92
_cell_angle_gamma 89.98
loop_
_atom_site_label
_atom_site_type_symbol
_atom_site_fract_x
_atom_site_fract_y
_atom_site_fract_z
Li1 Li 0.250 0.246 0.001
Tl1 Tl 0.250 0.772 0.651
Se1 Se 0.249 0.710 0.189
# ΔE to the lowest computed polymorph in eV per atom: 0.002
# E_form (uncorrected) in kJ/mol of formula units: -228

***

8.
# Ca3ReO6 PBE optimized geometry
data_Ca3ReO6
_chemical_formula_sum 'Ca6 Re2 O12'
_symmetry_space_group_name_H-M 'P 1 21/c 1'
_symmetry_Int_Tables_number 14
_symmetry_space_group_name_Hall '-P 2ybc'
_cell_length_a 5.575
_cell_length_b 5.859
_cell_length_c 9.800
_cell_angle_alpha 90.00
_cell_angle_beta 124.58
_cell_angle_gamma 90.00
loop_
_atom_site_label
_atom_site_type_symbol
_atom_site_fract_x
_atom_site_fract_y
_atom_site_fract_z
Ca1 Ca 0.000 0.000 0.000
Ca2 Ca 0.227 0.059 0.743
Re1 Re 0.500 0.000 0.500
O1 O 0.165 0.177 0.449
O2 O 0.262 0.725 0.429
O3 O 0.389 0.053 0.274
# ΔE to the lowest computed polymorph in eV per atom: 0.018
# E_form (uncorrected) in kJ/mol of formula units: -2418

***

Total magnetic moment values, unit μB per formula unit, following the record order: 0.00; 0.00; 0.00; 0.00; 0.81; 1.00; 0.00; 1.02.
Total energy values, unit eV/cell, following the record order: -130.2; -32.3; -15.1; -35.5; -39.7; -25.8; -20.3; -146.5.